No. 1
## ZrZnPd6 (PBE)

Data for ZrZnPd6 after structural relaxation.

Calculated values
The value obtained for the density of states at the Fermi level is 0.50 states/eV per atom. As for the symmetry: C2/m. The formation energy from the elements comes out at -24.0 kJ/mol of atoms. Its crystal system is monoclinic. The excess energy over the best structure of this formula in the dataset is 7.85 kcal/mol of atoms.

Structure (extended XYZ):
```
8
Lattice="3.920 -2.706 0.000 3.920 2.706 0.000 -2.516 0.000 6.760" Properties=species:S:1:pos:R:3 pbc="T T T"
Zr 0.000 0.000 0.000
Zn 2.662 0.000 3.380
Pd 1.901 1.394 1.379
Pd 0.057 0.000 2.961
Pd 3.422 1.394 5.381
Pd 1.901 -1.394 1.379
Pd 5.266 0.000 3.799
Pd 3.422 -1.394 5.381
```

---

No. 2
## NiIrPt3 (PBE)

Data for NiIrPt3 after structural relaxation.

Calculated values
The value obtained for the density of states at the Fermi level is 1.82 states/eV per atom. As for the symmetry: C2/m. The formation energy from the elements comes out at 22.8 kJ/mol of atoms. Its crystal system is monoclinic. The excess energy over the best structure of this formula in the dataset is 0.00 kcal/mol of atoms.

Structure (extended XYZ):
```
10
Lattice="8.166 -2.191 0.000 8.166 2.191 0.000 -0.876 0.000 4.619" Properties=species:S:1:pos:R:3 pbc="T T T"
Ni 1.923 0.000 0.025
Ni 13.532 0.000 4.593
Ir 5.611 0.000 3.123
Ir 9.844 0.000 1.496
Pt 2.758 0.000 2.507
Pt 4.704 0.000 0.523
Pt 7.328 0.000 1.047
Pt 8.128 0.000 3.572
Pt 10.752 0.000 4.096
Pt 12.698 0.000 2.112
```

---

No. 3
## Tb2SmEr3Sb6 (PBE)

Data for Tb2SmEr3Sb6 after structural relaxation.

Calculated values
The value obtained for the density of states at the Fermi level is 0.16 states/eV per atom. As for the symmetry: C2/m. Its crystal system is monoclinic. The uncorrected formation energy comes out at -1125 meV/atom.

Structure (extended XYZ):
```
12
Lattice="9.563 -2.195 0.000 9.563 2.195 0.000 -2.002 0.000 8.545" Properties=species:S:1:pos:R:3 pbc="T T T"
Tb 2.528 0.000 2.847
Tb 14.596 0.000 5.698
Sm 9.563 0.000 0.000
Er 1.510 0.000 7.114
Er 8.562 0.000 4.273
Er 15.613 0.000 1.431
Sb 18.607 0.000 2.181
Sb -1.483 0.000 6.365
Sb 4.497 0.000 7.847
Sb 5.560 0.000 3.548
Sb 11.564 0.000 4.997
Sb 12.626 0.000 0.698
```

---

No. 4
## As2Os2I (PBE)

Data for As2Os2I after structural relaxation.

Calculated values
The value obtained for the density of states at the Fermi level is 0.82 states/eV per atom. As for the symmetry: I4/mmm. Its crystal system is tetragonal. The excess energy over the best structure of this formula in the dataset is 0.00 kcal/mol of atoms. The uncorrected formation energy comes out at 278 meV/atom.

Structure (extended XYZ):
```
5
Lattice="-1.876 1.876 8.923 1.876 -1.876 8.923 1.876 1.876 -8.923" Properties=species:S:1:pos:R:3 pbc="T T T"
As 0.000 0.000 2.754
As 0.000 0.000 15.092
Os 1.876 0.000 4.462
Os 0.000 1.876 4.462
I 0.000 0.000 8.923
```

---

No. 5
## Pm2Ni3Ge4Ru (PBE)

Data for Pm2Ni3Ge4Ru after structural relaxation.

Calculated values
The value obtained for the density of states at the Fermi level is 0.40 states/eV per atom. As for the symmetry: P-4m2. The formation energy from the elements comes out at -66.5 kJ/mol of atoms. Its crystal system is tetragonal.

Structure (extended XYZ):
```
10
Lattice="4.135 0.000 0.000 0.000 4.135 0.000 0.000 0.000 9.948" Properties=species:S:1:pos:R:3 pbc="T T T"
Pm 0.000 2.067 2.404
Pm 2.067 0.000 7.543
Ni 0.000 2.067 8.707
Ni 2.067 0.000 1.240
Ni 2.067 2.067 4.974
Ge 0.000 0.000 0.000
Ge 0.000 2.067 6.313
Ge 2.067 0.000 3.635
Ge 2.067 2.067 0.000
Ru 0.000 0.000 4.974
```

---

No. 6
## Mn4TlPt (PBE)

Data for Mn4TlPt after structural relaxation.

Calculated values
The value obtained for the density of states at the Fermi level is 1.59 states/eV per atom. As for the symmetry: F-43m. The formation energy from the elements comes out at 34.0 kJ/mol of atoms. Its crystal system is cubic.

Structure (extended XYZ):
```
6
Lattice="0.000 3.499 3.499 3.499 0.000 3.499 3.499 3.499 0.000" Properties=species:S:1:pos:R:3 pbc="T T T"
Mn 0.875 0.875 0.875
Mn 2.624 2.624 0.875
Mn 2.624 0.875 2.624
Mn 0.875 2.624 2.624
Tl 3.499 3.499 3.499
Pt 5.249 5.249 5.249
```

---

No. 7
## Ce2Pm3Dy6Er (PBE)

Data for Ce2Pm3Dy6Er after structural relaxation.

Calculated values
The value obtained for the density of states at the Fermi level is 1.70 states/eV per atom. As for the symmetry: C2/m. The formation energy from the elements comes out at 4.3 kJ/mol of atoms. Its crystal system is monoclinic.

Structure (extended XYZ):
```
12
Lattice="3.086 -5.344 0.000 3.086 5.344 0.000 -2.055 0.000 11.587" Properties=species:S:1:pos:R:3 pbc="T T T"
Ce 3.086 3.565 0.000
Ce 3.086 -3.565 0.000
Pm -1.028 0.000 5.793
Pm 2.058 1.774 5.793
Pm 2.058 -1.774 5.793
Dy -0.007 1.792 8.736
Dy 1.020 0.000 2.854
Dy -0.007 -1.792 8.736
Dy 4.123 1.792 2.851
Dy 3.097 0.000 8.733
Dy 4.123 -1.792 2.851
Er 3.086 0.000 0.000
```

---

No. 8
## NaYbTiNbO6F (PBE)

Data for NaYbTiNbO6F after structural relaxation.

Calculated values
The value obtained for the density of states at the Fermi level is 1.15 states/eV per atom. As for the symmetry: P4_122. Its crystal system is tetragonal. The excess energy over the best structure of this formula in the dataset is 0.00 kcal/mol of atoms. The uncorrected formation energy comes out at -2783 meV/atom.

Structure (extended XYZ):
```
44
Lattice="7.332 0.000 0.000 0.000 7.332 0.000 0.000 0.000 10.380" Properties=species:S:1:pos:R:3 pbc="T T T"
Na 0.000 1.717 0.000
Na 0.000 5.615 5.190
Na 1.717 0.000 7.785
Na 5.615 0.000 2.595
Yb 1.738 3.666 7.785
Yb 3.666 1.738 0.000
Yb 3.666 5.594 5.190
Yb 5.594 3.666 2.595
Ti 1.904 3.666 2.595
Ti 3.666 1.904 5.190
Ti 3.666 5.428 0.000
Ti 5.428 3.666 7.785
Nb 0.000 1.905 5.190
Nb 0.000 5.427 0.000
Nb 1.905 0.000 2.595
Nb 5.427 0.000 7.785
O 0.405 3.311 3.816
O 0.405 4.021 1.374
O 0.464 0.464 3.892
O 0.464 6.868 1.297
O 1.850 2.018 5.947
O 1.850 5.314 9.623
O 2.018 1.850 1.838
O 2.018 5.482 3.352
O 3.311 0.405 3.969
O 3.311 6.927 1.221
O 3.368 3.368 3.892
O 3.368 3.964 1.297
O 3.964 3.368 6.487
O 3.964 3.964 9.082
O 4.021 0.405 6.411
O 4.021 6.927 9.158
O 5.314 1.850 8.542
O 5.314 5.482 7.028
O 5.482 2.018 4.433
O 5.482 5.314 0.757
O 6.868 0.464 6.487
O 6.868 6.868 9.082
O 6.927 3.311 6.564
O 6.927 4.021 9.006
F 1.833 1.833 9.082
F 1.833 5.499 6.487
F 5.499 1.833 1.297
F 5.499 5.499 3.892
```

---

No. 9
## TeBr (PBE)

Data for TeBr after structural relaxation.

Calculated values
The value obtained for the density of states at the Fermi level is 0.27 states/eV per atom. As for the symmetry: Pmn2_1. Its crystal system is orthorhombic. The uncorrected formation energy comes out at -153 meV/atom.

Structure (extended XYZ):
```
12
Lattice="15.798 0.000 0.000 0.000 4.560 0.000 0.000 0.000 6.710" Properties=species:S:1:pos:R:3 pbc="T T T"
Te 0.000 0.228 0.000
Te 1.941 1.831 1.149
Te 5.958 2.729 4.504
Te 7.899 4.332 3.355
Te 9.840 2.729 4.504
Te 13.857 1.831 1.149
Br 0.000 2.482 3.171
Br 3.508 0.882 5.931
Br 4.391 3.679 2.576
Br 7.899 2.078 6.526
Br 11.407 3.679 2.576
Br 12.290 0.882 5.931
```

---

No. 10
## PrGa2F8 (PBE)

Data for PrGa2F8 after structural relaxation.

Calculated values
The value obtained for the density of states at the Fermi level is 0.18 states/eV per atom. As for the symmetry: P-3m1. Its crystal system is trigonal. The excess energy over the best structure of this formula in the dataset is 1.26 kcal/mol of atoms. The uncorrected formation energy comes out at -2836 meV/atom.

Structure (extended XYZ):
```
11
Lattice="6.922 0.000 0.000 -3.461 5.995 0.000 0.000 0.000 4.043" Properties=species:S:1:pos:R:3 pbc="T T T"
Pr 0.000 0.000 0.000
Ga 0.000 3.996 1.088
Ga 3.461 1.998 2.955
F 0.000 2.072 1.086
F -1.667 4.959 1.086
F 0.000 3.996 3.094
F 1.794 1.036 2.957
F 1.667 4.959 1.086
F 3.461 1.998 0.949
F 5.128 1.036 2.957
F 3.461 3.923 2.957
```

---

No. 11
## ZrTaTc2 (PBE)

Data for ZrTaTc2 after structural relaxation.

Calculated values
The value obtained for the density of states at the Fermi level is 0.83 states/eV per atom. As for the symmetry: P2/m. The formation energy from the elements comes out at -13.4 kJ/mol of atoms. Its crystal system is monoclinic.

Structure (extended XYZ):
```
4
Lattice="2.919 0.000 0.000 0.000 4.334 0.000 -0.726 0.000 5.418" Properties=species:S:1:pos:R:3 pbc="T T T"
Zr 0.000 0.000 0.000
Ta 1.096 0.000 2.709
Tc 0.207 2.167 4.002
Tc 1.986 2.167 1.416
```

---

No. 12
## ZrAl2Au (PBE)

Data for ZrAl2Au after structural relaxation.

Calculated values
The value obtained for the density of states at the Fermi level is 0.38 states/eV per atom. As for the symmetry: C2/m. The formation energy from the elements comes out at -28.1 kJ/mol of atoms. Its crystal system is monoclinic.

Structure (extended XYZ):
```
4
Lattice="2.959 -4.594 0.000 2.959 4.594 0.000 -0.979 0.000 2.680" Properties=species:S:1:pos:R:3 pbc="T T T"
Zr 0.000 0.000 0.000
Al 0.990 2.297 1.340
Al 0.990 -2.297 1.340
Au 2.959 0.000 0.000
```

---

No. 13
## CsHfCuSi2 (PBE)

Data for CsHfCuSi2 after structural relaxation.

Calculated values
The value obtained for the density of states at the Fermi level is 0.93 states/eV per atom. As for the symmetry: P4/mmm. Its crystal system is tetragonal. The uncorrected formation energy comes out at 1155 meV/atom.

Structure (extended XYZ):
```
5
Lattice="4.676 0.000 0.000 0.000 4.676 0.000 0.000 0.000 5.355" Properties=species:S:1:pos:R:3 pbc="T T T"
Cs 0.000 0.000 0.000
Hf 2.338 2.338 0.000
Cu 0.000 0.000 2.677
Si 0.000 2.338 2.677
Si 2.338 0.000 2.677
```

---

No. 14
## NpTeCl (PBE)

Data for NpTeCl after structural relaxation.

Calculated values
The value obtained for the density of states at the Fermi level is 2.75 states/eV per atom. As for the symmetry: F-43m. Its crystal system is cubic. The uncorrected formation energy comes out at -973 meV/atom.

Structure (extended XYZ):
```
3
Lattice="0.000 3.608 3.608 3.608 0.000 3.608 3.608 3.608 0.000" Properties=species:S:1:pos:R:3 pbc="T T T"
Np 0.000 0.000 0.000
Te 5.412 5.412 5.412
Cl 1.804 1.804 1.804
```

---

No. 15
## CsHg2AsO4 (PBE)

Data for CsHg2AsO4 after structural relaxation.

Calculated values
As for the symmetry: I222. Its crystal system is orthorhombic. The uncorrected formation energy comes out at -897 meV/atom.

Structure (extended XYZ):
```
8
Lattice="-3.101 3.460 3.694 3.101 -3.460 3.694 3.101 3.460 -3.694" Properties=species:S:1:pos:R:3 pbc="T T T"
Cs 0.000 0.000 0.000
Hg 3.101 0.000 1.427
Hg 0.000 3.460 2.267
As 0.000 0.000 3.694
O 1.057 -0.973 2.700
O 2.044 2.487 0.994
O 2.044 4.434 -0.994
O 1.057 0.973 4.688
```

---

One value per record, in order, for uncorrected energy: -5.37 -6.32 -5.49 -6.38 -6.15 -7.16 -4.81 -7.55 -2.56 -5.18 -10.42 -5.12 -4.00 -6.95 -4.14 eV/atom.